## ZnCl6 (PBE)

Data for an optimized crystal structure of ZnCl6.

Values from the calculation:
Its total DFT energy (no corrections) is -2.15 eV/atom. The space group is P-1 (2).

Geometry as POSCAR:
```
ZnCl6
1.0
-0.563 2.232 -2.744
2.176 -5.550 -3.742
-7.143 -0.803 1.861
Cl Zn
6 1
Cartesian
-0.035 -2.236 -4.711 Cl
-1.275 -0.073 -1.939 Cl
-1.452 -4.231 -2.353 Cl
-4.079 0.111 -2.272 Cl
-4.256 -4.048 -2.686 Cl
-5.495 -1.884 0.086 Cl
0.000 0.000 0.000 Zn
```